Entry a
4
Lattice="2.9985 0.0000 0.0000 0.0000 4.7601 0.0000 -0.0915 0.0000 5.5183" Properties=species:S:1:pos:R:3 comment="PBE-GGA Te2IrW, optimized geometry" space_group="No. 10" m_tot_mub_per_cell=0.00 pbc="T T T"
Te 0.6929 0.0000 1.3544
Te 2.2140 0.0000 4.1639
Ir 1.4992 2.3801 0.0000
W -0.0458 2.3801 2.7591

Entry b
4
Lattice="3.1287 -4.6129 0.0000 3.1287 4.6129 0.0000 -1.5028 0.0000 2.7338" Properties=species:S:1:pos:R:3 comment="PBE-GGA Te2IrW, optimized geometry" space_group="No. 12" m_tot_mub_per_cell=0.00 pbc="T T T"
Te 1.5643 2.3064 0.0000
Te 1.5643 -2.3064 0.0000
Ir -0.7514 0.0000 1.3669
W 2.3773 0.0000 1.3669

Relative energies, unit eV/atom: entry a 0.026; entry b 0.000